Entry from Alexandria: a geometry-optimized ZrIn3Ru structure (GGA-PBE).

M_tot: 0.01 μB/f.u.
DFT total energy: -4.74 eV per atom
SG: Pm-3m (221)
polymorph energy (0 for the lowest one): 0.0 kJ per mole of atoms
E_form: 473 meV/atom

abc: 5.0252 5.0252 5.0252
angles: 90.00 90.00 90.00
Fractional coordinates of all 5 atoms:
Zr  0.0000  0.0000  0.0000
In  0.0000  0.5000  0.5000
In  0.5000  0.0000  0.5000
In  0.5000  0.5000  0.0000
Ru  0.5000  0.5000  0.5000

=====

Entry from Alexandria: a geometry-optimized InS structure (GGA-PBE).

M_tot: 0.00 μB/f.u.
DFT total energy: -3.85 eV per atom
raw formation energy: -0.8 eV per formula unit
SG: C2 (5)

abc: 3.9773 3.9773 7.2880
angles: 101.57 101.57 81.05
Fractional coordinates of all 4 atoms:
In  0.0000  0.0000  0.0000
In  0.6374  0.3626  0.5000
S  0.0393  0.5751  0.2188
S  0.4249  0.9607  0.7812

=====

Entry from Alexandria: a geometry-optimized InS structure (GGA-PBE).

M_tot: 0.00 μB/f.u.
DFT total energy: -3.93 eV per atom
raw formation energy: -1.0 eV per formula unit
SG: Pnnm (58)

abc: 4.7556 10.7172 3.9963
angles: 90.00 90.00 90.00
Fractional coordinates of all 8 atoms:
In  0.1229  0.1202  0.0000
In  0.3771  0.6202  0.5000
In  0.6229  0.3798  0.5000
In  0.8771  0.8798  0.0000
S  0.0424  0.6541  0.0000
S  0.4576  0.1541  0.5000
S  0.5424  0.8459  0.5000
S  0.9576  0.3459  0.0000

=====

Entry from Alexandria: a geometry-optimized In2S13 structure (GGA-PBE).

M_tot: 1.02 μB/f.u.
DFT total energy: -3.47 eV per atom
raw formation energy: 7.1 eV per formula unit
SG: R-3m (166)

abc: 10.1960 10.1960 10.1960
angles: 39.20 39.20 39.20
Fractional coordinates of all 15 atoms:
In  0.1482  0.1482  0.1482
In  0.8518  0.8518  0.8518
S  0.0000  0.0000  0.0000
S  0.1417  0.1417  0.4602
S  0.1417  0.4602  0.1417
S  0.2747  0.2747  0.5947
S  0.2747  0.5947  0.2747
S  0.4053  0.7253  0.7253
S  0.4602  0.1417  0.1417
S  0.5398  0.8583  0.8583
S  0.5947  0.2747  0.2747
S  0.7253  0.4053  0.7253
S  0.7253  0.7253  0.4053
S  0.8583  0.5398  0.8583
S  0.8583  0.8583  0.5398

=====

Entry from Alexandria: a geometry-optimized InS2 structure (GGA-PBE).

M_tot: 0.00 μB/f.u.
DFT total energy: -3.19 eV per atom
raw formation energy: 1.4 eV per formula unit
SG: Fd-3m (227)

abc: 5.6371 5.6371 5.6371
angles: 60.00 60.00 60.00
Fractional coordinates of all 6 atoms:
In  0.1250  0.1250  0.1250
In  0.8750  0.8750  0.8750
S  0.0000  0.5000  0.5000
S  0.5000  0.0000  0.5000
S  0.5000  0.5000  0.0000
S  0.5000  0.5000  0.5000

=====

Entry from Alexandria: a geometry-optimized In2S3 structure (GGA-PBE).

M_tot: 0.00 μB/f.u.
DFT total energy: -4.10 eV per atom
raw formation energy: -2.6 eV per formula unit
SG: Cm (8)

abc: 3.8914 3.8914 9.8827
angles: 102.64 102.64 58.89
Fractional coordinates of all 5 atoms:
In  0.0000  0.0000  0.0000
In  0.1901  0.1901  0.6129
S  0.3707  0.3707  0.1281
S  0.5215  0.5215  0.8090
S  0.8160  0.8160  0.4867

=====

Entry from Alexandria: a geometry-optimized In4S structure (GGA-PBE).

M_tot: 0.00 μB/f.u.
DFT total energy: -2.80 eV per atom
raw formation energy: 1.1 eV per formula unit
SG: Pm-3m (221)

abc: 5.4129 5.4129 5.4129
angles: 90.00 90.00 90.00
Fractional coordinates of all 5 atoms:
In  0.0000  0.0000  0.0000
In  0.0000  0.5000  0.5000
In  0.5000  0.0000  0.5000
In  0.5000  0.5000  0.0000
S  0.5000  0.5000  0.5000

=====

Entry from Alexandria: a geometry-optimized In3S structure (GGA-PBE).

M_tot: 0.00 μB/f.u.
DFT total energy: -3.12 eV per atom
raw formation energy: -0.1 eV per formula unit
SG: Pm-3m (221)

abc: 4.6926 4.6926 4.6926
angles: 90.00 90.00 90.00
Fractional coordinates of all 4 atoms:
In  0.0000  0.0000  0.5000
In  0.0000  0.5000  0.0000
In  0.5000  0.0000  0.0000
S  0.5000  0.5000  0.5000

=====

What is the formula in the fifth record?
InS2

=====

What is the formula in the third record?
InS